<1>
Computed, not measured: a relaxed structure of Cd3PtAu at the PBE-GGA level of DFT.

Cell lengths 5.848, 4.790, 7.870 Å; angles 90.00, 99.64, 90.00 degrees
Atoms (fractional coordinates):
Cd1 0.000 0.000 0.000
Cd2 0.078 0.500 0.294
Cd3 0.204 0.000 0.633
Cd4 0.500 0.000 0.000
Cd5 0.796 0.000 0.367
Cd6 0.922 0.500 0.706
Pt1 0.307 0.000 0.299
Pt2 0.693 0.000 0.701
Au1 0.439 0.500 0.760
Au2 0.561 0.500 0.240

## Properties
DOS(E_F): 0.238 states/eV/atom

---

<2>
Computed, not measured: a relaxed structure of Cd3PtAu at the PBE-GGA level of DFT.

Cell lengths 5.174, 5.174, 5.174 Å; angles 90.00, 90.00, 90.00 degrees
Atoms (fractional coordinates):
Cd1 0.000 0.000 0.500
Cd2 0.000 0.500 0.000
Cd3 0.500 0.000 0.000
Pt1 0.000 0.000 0.000
Au1 0.500 0.500 0.500

## Properties
DOS(E_F): 0.366 states/eV/atom

---

Of them, <2> has the lowest stability.